# Mg4ZrCo | Alexandria | GGA-PBEsol | optimized geometry
# Formation energy from the elements   0.48 eV per atom
# Raw total energy   -83.3 eV/cell
data_Mg4ZrCo
_chemical_formula_sum 'Mg16 Zr4 Co4'
_symmetry_space_group_name_H-M 'F -4 3 m'
_symmetry_Int_Tables_number 216
_symmetry_space_group_name_Hall 'F -4 2 3'
_cell_length_a 7.750
_cell_length_b 7.750
_cell_length_c 7.750
_cell_angle_alpha 90.00
_cell_angle_beta 90.00
_cell_angle_gamma 90.00
loop_
_atom_site_label
_atom_site_fract_x
_atom_site_fract_y
_atom_site_fract_z
_atom_site_occupancy
Mg1 0.125 0.125 0.125 1
Zr1 0.000 0.000 0.500 1
Co1 0.250 0.250 0.750 1